(P)
{
  "formula": "Ba2VSb2",
  "functional": "PBE",
  "state": "optimized geometry",
  "total_magnetization_mub_per_cell": 4.97,
  "cell": [[4.4016, 0.0000, 0.0000], [0.0000, 4.4016, 0.0000], [2.2008, 2.2008, 9.9737]],
  "species": ["Sb", "Sb", "Ba", "Ba", "V"],
  "fractional_positions": [[0.7500, 0.2500, 0.5000], [0.2500, 0.7500, 0.5000], [0.3930, 0.3930, 0.2140], [0.6070, 0.6070, 0.7860], [0.0000, 0.0000, 0.0000]]
}

(Q)
{
  "formula": "Ba2VSb2",
  "functional": "PBE",
  "state": "optimized geometry",
  "total_magnetization_mub_per_cell": 7.71,
  "cell": [[-7.3677, -5.9986, 2.1402], [-0.6635, -2.5318, -9.3806], [2.5642, -2.9318, 0.6099]],
  "species": ["Sb", "Sb", "Sb", "Sb", "Ba", "Ba", "Ba", "Ba", "V", "V"],
  "fractional_positions": [[0.1724, 0.6724, 0.5000], [0.6724, 0.8276, 0.5000], [0.8276, 0.3276, 0.5000], [0.3276, 0.1724, 0.5000], [0.3689, 0.8689, 0.0000], [0.8689, 0.6311, 0.0000], [0.6311, 0.1311, 0.0000], [0.1311, 0.3689, 0.0000], [0.0000, 0.0000, 0.0000], [0.5000, 0.5000, 0.0000]]
}

Which one is most stable, and which one is least stable? (Q) is the most stable of them, while (P) is the least stable.